# Ba2NaGaF

A relaxed structure of Ba2NaGaF (PBE, Alexandria).

Unit cell a=5.7208 b=5.7208 c=4.6171 alpha=90.00 beta=90.00 gamma=90.00
Atoms (fractional coordinates):
Na 0.0000 0.0000 0.5000
Ba 0.0000 0.5000 0.0000
Ba 0.5000 0.0000 0.0000
Ga 0.5000 0.5000 0.5000
F 0.0000 0.0000 0.0000

Properties
The value obtained for the total magnetization is 0.00 μB/f.u. The calculation puts the formation energy without anion corrections at -1199 meV per atom. Its total energy is -3.212 eV per atom.